No. 1
# CaFe2H8, optimized geometry, DFT GGA-PBE
# * density of states at the Fermi level: 0.11 states/eV/atom
# * energy relative to the lowest polymorph listed for this composition: 152.3 meV/atom
# * DFT total energy: -4.11 eV/atom
data_CaFe2H8
_chemical_formula_sum 'Ca2 Fe4 H16'
_cell_length_a 3.388
_cell_length_b 4.501
_cell_length_c 9.028
_cell_angle_alpha 90.00
_cell_angle_beta 90.00
_cell_angle_gamma 90.00
_space_group_name_H-M_alt 'I 2 2 2'
_space_group_IT_number 23
_space_group_name_Hall 'I 2 2'
loop_
_atom_site_label
_atom_site_type_symbol
_atom_site_fract_x
_atom_site_fract_y
_atom_site_fract_z
_atom_site_occupancy
Ca1 Ca 0.000 0.000 0.000 1
Fe1 Fe 0.000 0.000 0.340 1
H1 H 0.000 0.196 0.500 1
H2 H 0.000 0.500 0.114 1
H3 H 0.232 0.317 0.713 1



No. 2
# CaFeH3, optimized geometry, DFT GGA-PBE
# * density of states at the Fermi level: 0.80 states/eV/atom
# * DFT total energy: -4.22 eV/atom
data_CaFeH3
_chemical_formula_sum 'Ca2 Fe2 H6'
_cell_length_a 3.4602
_cell_length_b 3.4602
_cell_length_c 10.0821
_cell_angle_alpha 90.00
_cell_angle_beta 90.00
_cell_angle_gamma 120.00
_space_group_name_H-M_alt 'P 63/m m c'
_space_group_IT_number 194
_space_group_name_Hall '-P 6c 2c'
loop_
_atom_site_label
_atom_site_type_symbol
_atom_site_fract_x
_atom_site_fract_y
_atom_site_fract_z
_atom_site_occupancy
Ca1 Ca 0.0000 0.0000 0.0000 1
Fe1 Fe 0.3333 0.6667 0.2500 1
H1 H 0.0000 0.0000 0.2500 1
H2 H 0.3333 0.6667 0.0865 1



No. 3
# CaFeH2, optimized geometry, DFT GGA-PBE
# * density of states at the Fermi level: 0.44 states/eV/atom
# * energy relative to the lowest polymorph listed for this composition: 478.4 meV/atom
# * DFT total energy: -3.89 eV/atom
data_CaFeH2
_chemical_formula_sum 'Ca4 Fe4 H8'
_cell_length_a 5.798
_cell_length_b 5.798
_cell_length_c 5.798
_cell_angle_alpha 90.00
_cell_angle_beta 90.00
_cell_angle_gamma 90.00
_space_group_name_H-M_alt 'F m -3 m'
_space_group_IT_number 225
_space_group_name_Hall '-F 4 2 3'
loop_
_atom_site_label
_atom_site_type_symbol
_atom_site_fract_x
_atom_site_fract_y
_atom_site_fract_z
_atom_site_occupancy
Ca1 Ca 0.000 0.000 0.000 1
Fe1 Fe 0.000 0.000 0.500 1
H1 H 0.250 0.250 0.250 1



No. 4
# CaFe2MoH, optimized geometry, DFT GGA-PBE
# * density of states at the Fermi level: 1.69 states/eV/atom
# * DFT total energy: -5.82 eV/atom
data_CaFe2MoH
_chemical_formula_sum 'Ca1 Fe2 Mo1 H1'
_cell_length_a 4.670
_cell_length_b 4.670
_cell_length_c 3.712
_cell_angle_alpha 90.00
_cell_angle_beta 90.00
_cell_angle_gamma 90.00
_space_group_name_H-M_alt 'P 4/m m m'
_space_group_IT_number 123
_space_group_name_Hall '-P 4 2'
loop_
_atom_site_label
_atom_site_type_symbol
_atom_site_fract_x
_atom_site_fract_y
_atom_site_fract_z
_atom_site_occupancy
Ca1 Ca 0.000 0.000 0.000 1
Fe1 Fe 0.000 0.500 0.500 1
Mo1 Mo 0.500 0.500 0.500 1
H1 H 0.500 0.500 0.000 1



No. 5
# Na2CaFeH8, optimized geometry, DFT GGA-PBE
# * density of states at the Fermi level: 0.63 states/eV/atom
# * DFT total energy: -3.38 eV/atom
data_Na2CaFeH8
_chemical_formula_sum 'Na2 Ca1 Fe1 H8'
_cell_length_a 4.7948
_cell_length_b 4.7948
_cell_length_c 6.2275
_cell_angle_alpha 90.00
_cell_angle_beta 90.00
_cell_angle_gamma 120.00
_space_group_name_H-M_alt 'P -3 m 1'
_space_group_IT_number 164
_space_group_name_Hall '-P 3 2"'
loop_
_atom_site_label
_atom_site_type_symbol
_atom_site_fract_x
_atom_site_fract_y
_atom_site_fract_z
_atom_site_occupancy
Na1 Na 0.3333 0.6667 0.3509 1
Ca1 Ca 0.0000 0.0000 0.0000 1
Fe1 Fe 0.0000 0.0000 0.5000 1
H1 H 0.1512 0.3023 0.6556 1
H2 H 0.3333 0.6667 0.9967 1



No. 6
# Ca2FeHPb, optimized geometry, DFT GGA-PBE
# * density of states at the Fermi level: 1.02 states/eV/atom
# * DFT total energy: -3.99 eV/atom
data_Ca2FeHPb
_chemical_formula_sum 'Ca2 Fe1 H1 Pb1'
_cell_length_a 5.322
_cell_length_b 5.322
_cell_length_c 3.672
_cell_angle_alpha 90.00
_cell_angle_beta 90.00
_cell_angle_gamma 90.00
_space_group_name_H-M_alt 'P 4/m m m'
_space_group_IT_number 123
_space_group_name_Hall '-P 4 2'
loop_
_atom_site_label
_atom_site_type_symbol
_atom_site_fract_x
_atom_site_fract_y
_atom_site_fract_z
_atom_site_occupancy
Ca1 Ca 0.000 0.500 0.000 1
Fe1 Fe 0.000 0.000 0.500 1
H1 H 0.000 0.000 0.000 1
Pb1 Pb 0.500 0.500 0.500 1



No. 7
# RbCa2FeH, optimized geometry, DFT GGA-PBE
# * density of states at the Fermi level: 0.81 states/eV/atom
# * DFT total energy: -2.51 eV/atom
data_RbCa2FeH
_chemical_formula_sum 'Rb1 Ca2 Fe1 H1'
_cell_length_a 5.406
_cell_length_b 5.406
_cell_length_c 6.483
_cell_angle_alpha 90.00
_cell_angle_beta 90.00
_cell_angle_gamma 90.00
_space_group_name_H-M_alt 'P 4/m m m'
_space_group_IT_number 123
_space_group_name_Hall '-P 4 2'
loop_
_atom_site_label
_atom_site_type_symbol
_atom_site_fract_x
_atom_site_fract_y
_atom_site_fract_z
_atom_site_occupancy
Rb1 Rb 0.000 0.000 0.000 1
Ca1 Ca 0.000 0.500 0.500 1
Fe1 Fe 0.000 0.000 0.500 1
H1 H 0.500 0.500 0.000 1



No. 8
# CaFe2HS, optimized geometry, DFT GGA-PBE
# * density of states at the Fermi level: 1.15 states/eV/atom
# * DFT total energy: -5.39 eV/atom
data_CaFe2HS
_chemical_formula_sum 'Ca1 Fe2 H1 S1'
_cell_length_a 3.734
_cell_length_b 3.734
_cell_length_c 5.070
_cell_angle_alpha 90.00
_cell_angle_beta 90.00
_cell_angle_gamma 90.00
_space_group_name_H-M_alt 'P 4/m m m'
_space_group_IT_number 123
_space_group_name_Hall '-P 4 2'
loop_
_atom_site_label
_atom_site_type_symbol
_atom_site_fract_x
_atom_site_fract_y
_atom_site_fract_z
_atom_site_occupancy
Ca1 Ca 0.000 0.000 0.000 1
Fe1 Fe 0.000 0.500 0.500 1
H1 H 0.000 0.000 0.500 1
S1 S 0.500 0.500 0.000 1



No. 9
# Ca2ScFeH, optimized geometry, DFT GGA-PBE
# * density of states at the Fermi level: 1.40 states/eV/atom
# * DFT total energy: -4.10 eV/atom
data_Ca2ScFeH
_chemical_formula_sum 'Ca2 Sc1 Fe1 H1'
_cell_length_a 4.518
_cell_length_b 4.518
_cell_length_c 4.697
_cell_angle_alpha 90.00
_cell_angle_beta 90.00
_cell_angle_gamma 90.00
_space_group_name_H-M_alt 'P 4/m m m'
_space_group_IT_number 123
_space_group_name_Hall '-P 4 2'
loop_
_atom_site_label
_atom_site_type_symbol
_atom_site_fract_x
_atom_site_fract_y
_atom_site_fract_z
_atom_site_occupancy
Ca1 Ca 0.000 0.500 0.000 1
Sc1 Sc 0.000 0.000 0.500 1
Fe1 Fe 0.500 0.500 0.500 1
H1 H 0.000 0.000 0.000 1



No. 10
# CaScFeH2, optimized geometry, DFT GGA-PBE
# * density of states at the Fermi level: 0.87 states/eV/atom
# * DFT total energy: -4.04 eV/atom
data_CaScFeH2
_chemical_formula_sum 'Ca1 Sc1 Fe1 H2'
_cell_length_a 3.917
_cell_length_b 3.917
_cell_length_c 7.679
_cell_angle_alpha 90.00
_cell_angle_beta 90.00
_cell_angle_gamma 90.00
_space_group_name_H-M_alt 'P 4/m m m'
_space_group_IT_number 123
_space_group_name_Hall '-P 4 2'
loop_
_atom_site_label
_atom_site_type_symbol
_atom_site_fract_x
_atom_site_fract_y
_atom_site_fract_z
_atom_site_occupancy
Ca1 Ca 0.000 0.000 0.000 1
Sc1 Sc 0.000 0.000 0.500 1
Fe1 Fe 0.500 0.500 0.500 1
H1 H 0.000 0.500 0.000 1



No. 11
# SrCa2FeH8, optimized geometry, DFT GGA-PBE
# * density of states at the Fermi level: 0.00 states/eV/atom
# * DFT total energy: -3.91 eV/atom
data_SrCa2FeH8
_chemical_formula_sum 'Sr1 Ca2 Fe1 H8'
_cell_length_a 4.8287
_cell_length_b 4.8287
_cell_length_c 6.7811
_cell_angle_alpha 90.00
_cell_angle_beta 90.00
_cell_angle_gamma 120.00
_space_group_name_H-M_alt 'P -3 m 1'
_space_group_IT_number 164
_space_group_name_Hall '-P 3 2"'
loop_
_atom_site_label
_atom_site_type_symbol
_atom_site_fract_x
_atom_site_fract_y
_atom_site_fract_z
_atom_site_occupancy
Sr1 Sr 0.0000 0.0000 0.0000 1
Ca1 Ca 0.3333 0.6667 0.3605 1
Fe1 Fe 0.0000 0.0000 0.5000 1
H1 H 0.1540 0.3080 0.6402 1
H2 H 0.3333 0.6667 0.0343 1



No. 12
# Ca3HfFe, optimized geometry, DFT GGA-PBE
# * density of states at the Fermi level: 1.19 states/eV/atom
# * energy relative to the elements: 940.9 meV per atom
# * energy relative to the lowest polymorph listed for this composition: 0.0 meV/atom
# * DFT total energy: -3.94 eV/atom
data_Ca3HfFe
_chemical_formula_sum 'Ca3 Hf1 Fe1'
_cell_length_a 5.271
_cell_length_b 5.271
_cell_length_c 5.271
_cell_angle_alpha 90.00
_cell_angle_beta 90.00
_cell_angle_gamma 90.00
_space_group_name_H-M_alt 'P m -3 m'
_space_group_IT_number 221
_space_group_name_Hall '-P 4 2 3'
loop_
_atom_site_label
_atom_site_type_symbol
_atom_site_fract_x
_atom_site_fract_y
_atom_site_fract_z
_atom_site_occupancy
Ca1 Ca 0.000 0.000 0.500 1
Hf1 Hf 0.500 0.500 0.500 1
Fe1 Fe 0.000 0.000 0.000 1



No. 13
# CaHfFe4, optimized geometry, DFT GGA-PBE
# * density of states at the Fermi level: 0.99 states/eV/atom
# * energy relative to the elements: 34.5 meV per atom
# * DFT total energy: -7.60 eV/atom
data_CaHfFe4
_chemical_formula_sum 'Ca4 Hf4 Fe16'
_cell_length_a 7.079
_cell_length_b 7.079
_cell_length_c 7.079
_cell_angle_alpha 90.00
_cell_angle_beta 90.00
_cell_angle_gamma 90.00
_space_group_name_H-M_alt 'F -4 3 m'
_space_group_IT_number 216
_space_group_name_Hall 'F -4 2 3'
loop_
_atom_site_label
_atom_site_type_symbol
_atom_site_fract_x
_atom_site_fract_y
_atom_site_fract_z
_atom_site_occupancy
Ca1 Ca 0.000 0.000 0.000 1
Hf1 Hf 0.250 0.250 0.250 1
Fe1 Fe 0.125 0.125 0.625 1



No. 14
# CaHfFe3, optimized geometry, DFT GGA-PBE
# * density of states at the Fermi level: 1.67 states/eV/atom
# * energy relative to the elements: 989.0 meV per atom
# * energy relative to the lowest polymorph listed for this composition: 0.0 meV/atom
# * DFT total energy: -6.48 eV/atom
data_CaHfFe3
_chemical_formula_sum 'Ca1 Hf1 Fe3'
_cell_length_a 4.739
_cell_length_b 4.739
_cell_length_c 4.739
_cell_angle_alpha 90.00
_cell_angle_beta 90.00
_cell_angle_gamma 90.00
_space_group_name_H-M_alt 'P m -3 m'
_space_group_IT_number 221
_space_group_name_Hall '-P 4 2 3'
loop_
_atom_site_label
_atom_site_type_symbol
_atom_site_fract_x
_atom_site_fract_y
_atom_site_fract_z
_atom_site_occupancy
Ca1 Ca 0.000 0.000 0.000 1
Hf1 Hf 0.500 0.500 0.500 1
Fe1 Fe 0.000 0.500 0.500 1



No. 15
# Ca3HfFe, optimized geometry, DFT GGA-PBE
# * density of states at the Fermi level: 1.39 states/eV/atom
# * energy relative to the elements: 1523.5 meV per atom
# * energy relative to the lowest polymorph listed for this composition: 582.6 meV/atom
# * DFT total energy: -3.36 eV/atom
data_Ca3HfFe
_chemical_formula_sum 'Ca3 Hf1 Fe1'
_cell_length_a 5.737
_cell_length_b 5.737
_cell_length_c 5.737
_cell_angle_alpha 90.00
_cell_angle_beta 90.00
_cell_angle_gamma 90.00
_space_group_name_H-M_alt 'P m -3 m'
_space_group_IT_number 221
_space_group_name_Hall '-P 4 2 3'
loop_
_atom_site_label
_atom_site_type_symbol
_atom_site_fract_x
_atom_site_fract_y
_atom_site_fract_z
_atom_site_occupancy
Ca1 Ca 0.000 0.000 0.500 1
Hf1 Hf 0.000 0.000 0.000 1
Fe1 Fe 0.500 0.500 0.500 1



No. 16
# CaHf2Fe2, optimized geometry, DFT GGA-PBE
# * density of states at the Fermi level: 0.63 states/eV/atom
# * energy relative to the elements: 92.9 meV per atom
# * DFT total energy: -7.67 eV/atom
data_CaHf2Fe2
_chemical_formula_sum 'Ca2 Hf4 Fe4'
_cell_length_a 7.644
_cell_length_b 7.644
_cell_length_c 3.137
_cell_angle_alpha 90.00
_cell_angle_beta 90.00
_cell_angle_gamma 90.00
_space_group_name_H-M_alt 'P 4/m b m'
_space_group_IT_number 127
_space_group_name_Hall '-P 4 2ab'
loop_
_atom_site_label
_atom_site_type_symbol
_atom_site_fract_x
_atom_site_fract_y
_atom_site_fract_z
_atom_site_occupancy
Ca1 Ca 0.000 0.000 0.000 1
Hf1 Hf 0.143 0.357 0.500 1
Fe1 Fe 0.141 0.641 0.000 1